1.
Entry from Alexandria via LeMat-Bulk: crystalline PrNdCd14 at its relaxed geometry (PBE).

Output
E_tot   -1.550 eV per atom
Total magnetic moment   0.0 μB per formula unit
Calculated density   8.054 Mg/m³

Lattice parameters (Å, degrees): 6.7331 6.7331 8.4536 90.00 90.00 90.00
Fractional positions:
Pr 0.0000 0.0000 0.0000
Nd 0.5000 0.5000 0.0000
Cd 0.0000 0.0000 0.5000
Cd 0.0000 0.5000 0.0000
Cd 0.0000 0.5000 0.5000
Cd 0.2507 0.2507 0.2635
Cd 0.2507 0.2507 0.7365
Cd 0.2507 0.7493 0.2635
Cd 0.2507 0.7493 0.7365
Cd 0.5000 0.0000 0.0000
Cd 0.5000 0.0000 0.5000
Cd 0.5000 0.5000 0.5000
Cd 0.7493 0.2507 0.2635
Cd 0.7493 0.2507 0.7365
Cd 0.7493 0.7493 0.2635
Cd 0.7493 0.7493 0.7365

---

2.
Entry from Alexandria via LeMat-Bulk: crystalline ZrTiSe3 at its relaxed geometry (PBE).

Output
Energy above the lowest structure with this stoichiometry   5.24 eV per formula unit
E_tot   -5.532 eV per atom
Total magnetic moment   0.3 μB per formula unit
Formation energy without anion corrections   -0.152 eV/atom
Calculated density   4.528 Mg/m³

Lattice parameters (Å, degrees): 5.1660 5.1660 5.1660 90.00 90.00 90.00
Fractional positions:
Zr 0.0000 0.0000 0.0000
Ti 0.5000 0.5000 0.5000
Se 0.0000 0.0000 0.5000
Se 0.0000 0.5000 0.0000
Se 0.5000 0.0000 0.0000

---

E_tot of number 1 (PrNdCd14)?
-1.550 eV per atom